Y2ErRu2 | GGA-PBE | optimized geometry

Cell: 10.363 10.363 3.370 Å, 90.00 90.00 161.16°
Fractional positions:
Y 0.164 0.836 0.000
Y 0.836 0.164 0.000
Er 0.000 0.000 0.000
Ru 0.414 0.586 0.500
Ru 0.586 0.414 0.500

Calculated values
ΔE to the lowest computed polymorph in eV/f.u.: 0.00
ΔE_f in meV per atom: -321
DFT total energy in eV/atom: -7.53
Space-group type: Cmmm